Record 1
{"formula": "La2CdN2", "functional": "PBE-GGA", "state": "relaxed", "n_ef_per_ev_cell": 2.817, "crystal_system": "tetragonal", "formation_energy_uncorrected_ev_per_atom": -0.839, "polymorph_energy_ev_per_fu": 0.00, "sg": "I4/mmm, No. 139", "lattice_angstrom": [[4.388, 0.000, 0.000], [0.000, 4.388, 0.000], [2.194, 2.194, 6.484]], "species": ["N", "N", "Cd", "La", "La"], "frac_coords": [[0.750, 0.250, 0.500], [0.250, 0.750, 0.500], [0.000, 0.000, 0.000], [0.325, 0.325, 0.350], [0.675, 0.675, 0.650]]}

---

Record 2
{"formula": "KRb2Tc2O6", "functional": "PBE-GGA", "state": "relaxed", "n_ef_per_ev_cell": 8.682, "crystal_system": "trigonal", "formation_energy_uncorrected_ev_per_atom": -1.397, "sg": "R-3m, No. 166", "lattice_angstrom": [[-5.258, -1.170, -3.611], [-0.696, -5.731, -2.953], [-5.214, -4.739, 3.306]], "species": ["K", "Rb", "Rb", "Tc", "Tc", "O", "O", "O", "O", "O", "O"], "frac_coords": [[0.000, 0.000, 0.000], [0.794, 0.794, 0.619], [0.206, 0.206, 0.381], [0.413, 0.413, 0.762], [0.587, 0.587, 0.238], [0.732, 0.732, 0.271], [0.265, 0.732, 0.271], [0.732, 0.265, 0.271], [0.268, 0.735, 0.729], [0.735, 0.268, 0.729], [0.268, 0.268, 0.729]]}

---

Record 3
{"formula": "Rb2Cu2Cl7", "functional": "PBE-GGA", "state": "relaxed", "n_ef_per_ev_cell": 7.367, "crystal_system": "orthorhombic", "formation_energy_uncorrected_ev_per_atom": -0.752, "polymorph_energy_ev_per_fu": 2.34, "sg": "Cmmm, No. 65", "lattice_angstrom": [[6.933, -0.003, -1.448], [0.001, 6.668, 0.005], [-1.877, -0.001, 6.830]], "species": ["Rb", "Rb", "Cu", "Cu", "Cl", "Cl", "Cl", "Cl", "Cl", "Cl", "Cl"], "frac_coords": [[0.783, 0.500, 0.783], [0.217, 0.500, 0.217], [0.774, 0.000, 0.226], [0.226, 0.000, 0.774], [0.000, 0.229, 0.500], [0.500, 0.771, 0.000], [0.000, 0.771, 0.500], [0.500, 0.229, 0.000], [0.000, 0.000, 0.000], [0.500, 0.827, 0.500], [0.500, 0.173, 0.500]]}

---

Record 4
{"formula": "ErCd5Hg2", "functional": "PBE-GGA", "state": "relaxed", "n_ef_per_ev_cell": 6.761, "crystal_system": "orthorhombic", "formation_energy_mev_per_atom": -121, "sg": "Pbam, No. 55", "lattice_angstrom": [[-4.375, -0.189, -0.457], [0.733, -1.417, -6.425], [0.252, -12.636, 2.816]], "species": ["Er", "Er", "Cd", "Cd", "Cd", "Cd", "Cd", "Cd", "Cd", "Cd", "Cd", "Cd", "Hg", "Hg", "Hg", "Hg"], "frac_coords": [[0.000, 0.000, 0.500], [0.000, 0.500, 0.000], [0.000, 0.000, 0.000], [0.000, 0.500, 0.500], [0.000, 0.466, 0.741], [0.000, 0.534, 0.259], [0.000, 0.034, 0.241], [0.000, 0.966, 0.759], [0.500, 0.234, 0.871], [0.500, 0.766, 0.129], [0.500, 0.266, 0.371], [0.500, 0.734, 0.629], [0.500, 0.224, 0.624], [0.500, 0.776, 0.376], [0.500, 0.276, 0.124], [0.500, 0.724, 0.876]]}

---

Record 5
{"formula": "Pu4Ge6Os7", "functional": "PBE-GGA", "state": "relaxed", "n_ef_per_ev_cell": 28.069, "crystal_system": "cubic", "formation_energy_mev_per_atom": -305, "sg": "Im-3m, No. 229", "lattice_angstrom": [[0.960, -7.121, 0.917], [6.448, 3.259, -0.517], [-3.621, 2.697, 5.664]], "species": ["Pu", "Pu", "Pu", "Pu", "Ge", "Ge", "Ge", "Ge", "Ge", "Ge", "Os", "Os", "Os", "Os", "Os", "Os", "Os"], "frac_coords": [[0.500, 0.000, 0.000], [0.500, 0.500, 0.500], [0.000, 0.500, 0.000], [0.000, 0.000, 0.500], [0.692, 0.000, 0.692], [0.692, 0.692, 0.000], [0.000, 0.308, 0.308], [0.308, 0.000, 0.308], [0.308, 0.308, 0.000], [0.000, 0.692, 0.692], [0.750, 0.500, 0.250], [0.250, 0.750, 0.500], [0.500, 0.750, 0.250], [0.750, 0.250, 0.500], [0.250, 0.500, 0.750], [0.500, 0.250, 0.750], [0.000, 0.000, 0.000]]}

---

Record 6
{"formula": "BrCl3", "functional": "PBE-GGA", "state": "relaxed", "n_ef_per_ev_cell": 5.332, "crystal_system": "trigonal", "formation_energy_uncorrected_ev_per_atom": 0.597, "sg": "R-3m, No. 166", "lattice_angstrom": [[7.003, -0.030, -0.018], [5.766, 3.974, -0.018], [5.766, 1.781, 3.553]], "species": ["Br", "Cl", "Cl", "Cl"], "frac_coords": [[0.000, 0.000, 0.000], [0.745, 0.745, 0.745], [0.500, 0.500, 0.500], [0.255, 0.255, 0.255]]}

---

Record 7
{"formula": "TaTc2P", "functional": "PBE-GGA", "state": "relaxed", "n_ef_per_ev_cell": 1.796, "crystal_system": "tetragonal", "formation_energy_mev_per_atom": -284, "sg": "P4/mmm, No. 123", "lattice_angstrom": [[4.292, 0.000, 0.000], [0.000, 4.292, 0.000], [0.000, 0.000, 3.158]], "species": ["Ta", "Tc", "Tc", "P"], "frac_coords": [[0.000, 0.000, 0.500], [0.500, 0.000, 0.000], [0.000, 0.500, 0.000], [0.500, 0.500, 0.500]]}

---

Record 8
{"formula": "K3Ac3TmTe8", "functional": "PBE-GGA", "state": "relaxed", "n_ef_per_ev_cell": 14.028, "crystal_system": "monoclinic", "formation_energy_uncorrected_ev_per_atom": -1.359, "sg": "C2/m, No. 12", "lattice_angstrom": [[-2.194, -6.426, 6.610], [5.722, -2.362, -7.189], [3.578, 6.100, 7.116]], "species": ["K", "K", "K", "Ac", "Ac", "Ac", "Tm", "Te", "Te", "Te", "Te", "Te", "Te", "Te", "Te"], "frac_coords": [[0.000, 0.000, 0.000], [0.000, 0.500, 0.000], [0.500, 0.500, 0.000], [0.500, 0.000, 0.500], [0.500, 0.500, 0.500], [0.000, 0.500, 0.500], [0.000, 0.000, 0.500], [0.258, 0.516, 0.274], [0.742, 0.484, 0.726], [0.775, 0.550, 0.291], [0.225, 0.450, 0.709], [0.775, 0.016, 0.291], [0.225, 0.984, 0.709], [0.241, 0.016, 0.291], [0.759, 0.984, 0.709]]}